Crystalline Na2TiGeF at its relaxed geometry, computed with PBE.

Values from the calculation:
E_tot	-3.137	eV per atom
density of states at the Fermi level	8.3	states/eV/f.u.
total moment	2.4	μB/f.u.
formation energy without anion corrections	0.267	eV/atom
space-group type	P4/mmm

Cell lengths 6.2163, 6.2163, 4.7542 Å; angles 90.00, 90.00, 90.00 degrees
Closest atoms and distances in Å follow each position.
Element x y z (fractional)
1 Na 0.0000 0.5000 0.0000  2 Ti 3.11
2 Na 0.5000 0.0000 0.0000  2 Ti 3.11
3 Ti 0.0000 0.0000 0.0000  2 Ge 2.38
4 Ge 0.0000 0.0000 0.5000  2 Ti 2.38
5 F 0.5000 0.5000 0.5000  8 Na 3.91

Crystalline NaTlGeF6 at its relaxed geometry, computed with PBE.

Values from the calculation:
E_tot	-4.658	eV per atom
density of states at the Fermi level	0.0	states/eV/f.u.
total moment	0.0	μB/f.u.
formation energy without anion corrections	-2.488	eV/atom
space-group type	P312

Cell lengths 5.7182, 5.7182, 5.7229 Å; angles 90.00, 90.00, 120.00 degrees
Closest atoms and distances in Å follow each position.
Element x y z (fractional)
1 Na 0.0000 0.0000 0.0000  6 F 2.34
2 Tl 0.6667 0.3333 0.5000  6 F 2.83
3 Ge 0.3333 0.6667 0.0000  6 F 1.84
4 F 0.0758 0.3969 0.1836  1 Ge 1.84
5 F 0.0758 0.6790 0.8164  1 Ge 1.84
6 F 0.3210 0.3969 0.8164  1 Ge 1.84
7 F 0.3210 0.9242 0.1836  1 Ge 1.84
8 F 0.6031 0.6790 0.1836  1 Ge 1.84
9 F 0.6031 0.9242 0.8164  1 Ge 1.84

Crystalline Na2TlGeF8 at its relaxed geometry, computed with PBE.

Values from the calculation:
E_tot	-4.452	eV per atom
density of states at the Fermi level	2.4	states/eV/f.u.
total moment	0.0	μB/f.u.
formation energy without anion corrections	-2.402	eV/atom
space-group type	P2/m

Cell lengths 4.9394, 7.2771, 5.0732 Å; angles 90.00, 91.43, 90.00 degrees
Closest atoms and distances in Å follow each position.
Element x y z (fractional)
1 Na 0.0000 0.2347 0.0000  6 F 2.31-2.39
2 Na 0.0000 0.7653 0.0000  6 F 2.31-2.39
3 Tl 0.5000 0.5000 0.5000  2 F 2.23
4 Ge 0.5000 0.0000 0.5000  6 F 1.83-1.84
5 F 0.1797 0.5000 0.1822  1 Tl 2.23, 2 Na 2.31
6 F 0.2405 0.0000 0.2373  1 Ge 1.83
7 F 0.3161 0.1821 0.6741  1 Ge 1.84
8 F 0.3161 0.8179 0.6741  1 Ge 1.84
9 F 0.6839 0.1821 0.3259  1 Ge 1.84
10 F 0.6839 0.8179 0.3259  1 Ge 1.84
11 F 0.7595 0.0000 0.7627  1 Ge 1.83
12 F 0.8203 0.5000 0.8178  1 Tl 2.23, 2 Na 2.31

Please write out number 1 again, unchanged.
Crystalline Na2TiGeF at its relaxed geometry, computed with PBE.

Values from the calculation:
E_tot	-3.137	eV per atom
density of states at the Fermi level	8.3	states/eV/f.u.
total moment	2.4	μB/f.u.
formation energy without anion corrections	0.267	eV/atom
space-group type	P4/mmm

Cell lengths 6.2163, 6.2163, 4.7542 Å; angles 90.00, 90.00, 90.00 degrees
Closest atoms and distances in Å follow each position.
Element x y z (fractional)
1 Na 0.0000 0.5000 0.0000  2 Ti 3.11
2 Na 0.5000 0.0000 0.0000  2 Ti 3.11
3 Ti 0.0000 0.0000 0.0000  2 Ge 2.38
4 Ge 0.0000 0.0000 0.5000  2 Ti 2.38
5 F 0.5000 0.5000 0.5000  8 Na 3.91

Question: The highest formation energy without anion corrections belongs to which entry?
Answer: Na2TiGeF

Question: Which of these has the highest density of states at the Fermi level?
Answer: Na2TiGeF

What did the second record say?
Crystalline NaTlGeF6 at its relaxed geometry, computed with PBE.

Values from the calculation:
E_tot	-4.658	eV per atom
density of states at the Fermi level	0.0	states/eV/f.u.
total moment	0.0	μB/f.u.
formation energy without anion corrections	-2.488	eV/atom
space-group type	P312

Cell lengths 5.7182, 5.7182, 5.7229 Å; angles 90.00, 90.00, 120.00 degrees
Closest atoms and distances in Å follow each position.
Element x y z (fractional)
1 Na 0.0000 0.0000 0.0000  6 F 2.34
2 Tl 0.6667 0.3333 0.5000  6 F 2.83
3 Ge 0.3333 0.6667 0.0000  6 F 1.84
4 F 0.0758 0.3969 0.1836  1 Ge 1.84
5 F 0.0758 0.6790 0.8164  1 Ge 1.84
6 F 0.3210 0.3969 0.8164  1 Ge 1.84
7 F 0.3210 0.9242 0.1836  1 Ge 1.84
8 F 0.6031 0.6790 0.1836  1 Ge 1.84
9 F 0.6031 0.9242 0.8164  1 Ge 1.84